Density functional theory data (PBE) for crystalline InC2 at its relaxed geometry.

Unit cell a=7.1311 b=7.1311 c=5.5288 alpha=90.00 beta=90.00 gamma=120.00
Fractional positions:
In (0.0000, 0.0000, 0.0000)
In (0.3333, 0.6667, 0.5000)
In (0.6667, 0.3333, 0.5000)
C (0.0000, 0.1947, 0.5000)
C (0.0000, 0.8053, 0.5000)
C (0.1947, 0.0000, 0.5000)
C (0.1947, 0.1947, 0.5000)
C (0.8053, 0.0000, 0.5000)
C (0.8053, 0.8053, 0.5000)

Excess energy over the best structure of this formula in the dataset: 0.657 eV per atom
Total magnetic moment: 0.00 μB per formula unit
Symmetry: P6/mmm
Energy: -5.73 eV per atom
ΔE_f: 1.33 eV per atom



Density functional theory data (PBE) for crystalline In5C at its relaxed geometry.

Unit cell a=6.1149 b=6.1149 c=6.1149 alpha=60.00 beta=60.00 gamma=60.00
Fractional positions:
In (0.0000, 0.0000, 0.0000)
In (0.1267, 0.6244, 0.6244)
In (0.6244, 0.1267, 0.6244)
In (0.6244, 0.6244, 0.1267)
In (0.6244, 0.6244, 0.6244)
C (0.2500, 0.2500, 0.2500)

Excess energy over the best structure of this formula in the dataset: 0.625 eV per atom
Total magnetic moment: 1.55 μB per formula unit
Symmetry: F-43m
Energy: -2.67 eV per atom
ΔE_f: 1.15 eV per atom



Density functional theory data (PBE) for crystalline InC at its relaxed geometry.

Unit cell a=4.5298 b=4.5298 c=4.5298 alpha=60.00 beta=60.00 gamma=60.00
Fractional positions:
In (0.1250, 0.1250, 0.1250)
In (0.8750, 0.8750, 0.8750)
C (0.3750, 0.3750, 0.3750)
C (0.6250, 0.6250, 0.6250)

Excess energy over the best structure of this formula in the dataset: 1.883 eV per atom
Total magnetic moment: 0.00 μB per formula unit
Symmetry: Fd-3m
Energy: -3.39 eV per atom
ΔE_f: 2.59 eV per atom



Density functional theory data (PBE) for crystalline In2C at its relaxed geometry.

Unit cell a=6.0868 b=6.0868 c=6.0868 alpha=90.00 beta=90.00 gamma=90.00
Fractional positions:
In (0.1389, 0.1389, 0.1389)
In (0.1389, 0.3611, 0.6389)
In (0.3611, 0.6389, 0.1389)
In (0.3611, 0.8611, 0.6389)
In (0.6389, 0.1389, 0.3611)
In (0.6389, 0.3611, 0.8611)
In (0.8611, 0.6389, 0.3611)
In (0.8611, 0.8611, 0.8611)
C (0.0000, 0.0000, 0.5000)
C (0.0000, 0.5000, 0.0000)
C (0.5000, 0.0000, 0.0000)
C (0.5000, 0.5000, 0.5000)

Total magnetic moment: 0.00 μB per formula unit
Symmetry: Pa-3
Energy: -3.80 eV per atom
ΔE_f: 1.10 eV per atom



Density functional theory data (PBE) for crystalline InC at its relaxed geometry.

Unit cell a=8.8607 b=8.8607 c=3.7092 alpha=90.00 beta=90.00 gamma=120.00
Fractional positions:
In (0.0958, 0.6831, 0.2500)
In (0.3170, 0.4128, 0.2500)
In (0.4128, 0.0958, 0.7500)
In (0.5872, 0.9042, 0.2500)
In (0.6831, 0.5872, 0.7500)
In (0.9042, 0.3170, 0.7500)
C (0.0654, 0.4020, 0.2500)
C (0.3365, 0.9346, 0.2500)
C (0.4020, 0.3365, 0.7500)
C (0.5980, 0.6635, 0.2500)
C (0.6635, 0.0654, 0.7500)
C (0.9346, 0.5980, 0.7500)

Excess energy over the best structure of this formula in the dataset: 0.820 eV per atom
Total magnetic moment: 0.00 μB per formula unit
Symmetry: P6_3/m
Energy: -4.45 eV per atom
ΔE_f: 1.53 eV per atom



Density functional theory data (PBE) for crystalline InC at its relaxed geometry.

Unit cell a=7.0943 b=6.7073 c=5.4914 alpha=70.32 beta=62.90 gamma=46.79
Fractional positions:
In (0.0681, 0.6819, 0.0681)
In (0.3181, 0.9319, 0.3181)
In (0.6819, 0.0681, 0.6819)
In (0.9319, 0.3181, 0.9319)
C (0.0208, 0.0208, 0.7292)
C (0.2708, 0.2708, 0.9792)
C (0.7292, 0.7292, 0.0208)
C (0.9792, 0.9792, 0.2708)

Excess energy over the best structure of this formula in the dataset: 0.894 eV per atom
Total magnetic moment: 0.00 μB per formula unit
Symmetry: Fddd
Energy: -4.38 eV per atom
ΔE_f: 1.60 eV per atom



Density functional theory data (PBE) for crystalline InC2 at its relaxed geometry.

Unit cell a=3.4817 b=3.6668 c=4.4157 alpha=65.48 beta=67.03 gamma=61.70
Fractional positions:
In (0.0000, 0.0000, 0.0000)
C (0.4736, 0.3922, 0.6602)
C (0.5242, 0.6107, 0.3413)

Excess energy over the best structure of this formula in the dataset: 0.379 eV per atom
Total magnetic moment: 0.00 μB per formula unit
Symmetry: P1
Energy: -6.01 eV per atom
ΔE_f: 1.05 eV per atom



Density functional theory data (PBE) for crystalline InC at its relaxed geometry.

Unit cell a=3.5369 b=3.5369 c=6.5399 alpha=90.00 beta=90.00 gamma=120.00
Fractional positions:
In (0.0000, 0.0000, 0.2189)
In (0.0000, 0.0000, 0.7811)
C (0.6667, 0.3333, 0.3976)
C (0.6667, 0.3333, 0.6024)

Excess energy over the best structure of this formula in the dataset: 0.065 eV per atom
Total magnetic moment: 0.00 μB per formula unit
Symmetry: P-6m2
Energy: -5.21 eV per atom
ΔE_f: 0.78 eV per atom



Density functional theory data (PBE) for crystalline InC at its relaxed geometry.

Unit cell a=3.7202 b=10.4980 c=5.7291 alpha=90.00 beta=90.00 gamma=90.00
Fractional positions:
In (0.2500, 0.0972, 0.1830)
In (0.2500, 0.4028, 0.1830)
In (0.2500, 0.7500, 0.3463)
In (0.7500, 0.2500, 0.6537)
In (0.7500, 0.5972, 0.8170)
In (0.7500, 0.9028, 0.8170)
C (0.2500, 0.2500, 0.4458)
C (0.2500, 0.6055, 0.0503)
C (0.2500, 0.8945, 0.0503)
C (0.7500, 0.1055, 0.9497)
C (0.7500, 0.3945, 0.9497)
C (0.7500, 0.7500, 0.5542)

Excess energy over the best structure of this formula in the dataset: 0.802 eV per atom
Total magnetic moment: 0.00 μB per formula unit
Symmetry: Pmmn
Energy: -4.47 eV per atom
ΔE_f: 1.51 eV per atom



Density functional theory data (PBE) for crystalline In2C at its relaxed geometry.

Unit cell a=6.1527 b=6.1527 c=5.2220 alpha=90.00 beta=90.00 gamma=120.00
Fractional positions:
In (0.0000, 0.3539, 0.2662)
In (0.0000, 0.6461, 0.7338)
In (0.3539, 0.0000, 0.2662)
In (0.3539, 0.3539, 0.7338)
In (0.6461, 0.0000, 0.7338)
In (0.6461, 0.6461, 0.2662)
C (0.0000, 0.0000, 0.5000)
C (0.3333, 0.6667, 0.0000)
C (0.6667, 0.3333, 0.0000)

Total magnetic moment: 0.00 μB per formula unit
Symmetry: P-31m
Energy: -3.89 eV per atom
ΔE_f: 1.01 eV per atom



Density functional theory data (PBE) for crystalline InC8 at its relaxed geometry.

Unit cell a=8.5911 b=8.5911 c=8.5911 alpha=91.24 beta=91.24 gamma=163.09
Fractional positions:
In (0.0000, 0.0000, 0.0000)
C (0.0000, 0.4259, 0.4259)
C (0.0000, 0.5741, 0.5741)
C (0.2499, 0.2499, 0.4999)
C (0.2499, 0.7501, 0.0000)
C (0.4259, 0.0000, 0.4259)
C (0.5741, 0.0000, 0.5741)
C (0.7501, 0.2499, 0.0000)
C (0.7501, 0.7501, 0.5001)

Total magnetic moment: 0.17 μB per formula unit
Symmetry: I4/mmm
Energy: -6.44 eV per atom
ΔE_f: 2.07 eV per atom



Density functional theory data (PBE) for crystalline InC at its relaxed geometry.

Unit cell a=4.5158 b=4.5158 c=3.0396 alpha=90.00 beta=90.00 gamma=90.00
Fractional positions:
In (0.2500, 0.7500, 0.0000)
In (0.7500, 0.2500, 0.0000)
C (0.2500, 0.2500, 0.2236)
C (0.7500, 0.7500, 0.7764)

Excess energy over the best structure of this formula in the dataset: 1.157 eV per atom
Total magnetic moment: 0.00 μB per formula unit
Symmetry: P4/nmm
Energy: -4.11 eV per atom
ΔE_f: 1.87 eV per atom



Q: Which value of ΔE_f does entry 9 give?
A: 1.51 eV per atom